A plane-wave DFT calculation with PBE was carried out for an optimized crystal structure of KAl2Se.

It has space group I-42d (No. 122), with a = 8.395 Å, b = 8.395 Å, c = 6.180 Å, α = 90.00°, β = 90.00° and γ = 90.00°. The inequivalent atoms are K at (0.000, 0.000, 0.000), Al at (0.195, 0.250, 0.625) and Se at (0.000, 0.000, 0.500).

The total DFT energy (no corrections) comes out at -12.3 eV per formula unit. The raw formation energy comes out at -1.110 kcal/mol of atoms. For the total moment, the calculation gives 0.0000 μB/atom. As for the density of states at the Fermi level: 5.6 states/eV per cell. The volume comes out at 27.2 Å³/atom.